Computed, not measured: a relaxed Li3Fe2P4HO14 crystal at the PBE+U level of DFT.

## Properties
Its space group is P-1 (2). The value obtained for the total energy is -6.717 eV/atom. The density of states at the Fermi level comes out at 0.00 states/eV per cell. As for the total magnetic moment: 8.00 μB per cell.

Lattice parameters (Å, degrees): 5.0555 5.1810 12.5998 88.44 86.57 62.71
Fractional positions:
Li1 0.0000 0.0000 0.0000
Li2 0.4961 0.3264 0.4188
Li3 0.5039 0.6736 0.5812
Fe1 0.1009 0.0713 0.2475
Fe2 0.8991 0.9287 0.7525
P1 0.1667 0.3119 0.6509
P2 0.3727 0.3633 0.8700
P3 0.6273 0.6367 0.1300
P4 0.8333 0.6881 0.3491
H1 0.0000 0.5000 0.0000
O1 0.1202 0.0430 0.6321
O2 0.1285 0.4143 0.3221
O3 0.1930 0.2871 0.9566
O4 0.2429 0.6897 0.8532
O5 0.2913 0.8025 0.1172
O6 0.3623 0.2130 0.7579
O7 0.3683 0.3598 0.5676
O8 0.6317 0.6402 0.4324
O9 0.6377 0.7870 0.2421
O10 0.7087 0.1975 0.8828
O11 0.7571 0.3103 0.1468
O12 0.8070 0.7129 0.0434
O13 0.8715 0.5857 0.6779
O14 0.8798 0.9570 0.3679